## HoPaIrRu (PBE-GGA)

Data for crystalline HoPaIrRu at its relaxed geometry.

Structure (POSCAR):
```
HoPaIrRu
1.0
0.000 3.430 3.430
3.430 0.000 3.430
3.430 3.430 0.000
Ho Pa Ir Ru
1 1 1 1
Direct
0.000 0.000 0.000
0.500 0.500 0.500
0.250 0.250 0.250
0.750 0.750 0.750
```

## Properties
total magnetic moment: 0.0 μB/f.u.
energy relative to the elements: -2.3 eV/f.u.
VASP energy: -34.49 eV per cell


## Li3VCl (PBE-GGA)

Data for crystalline Li3VCl at its relaxed geometry.

Structure (POSCAR):
```
Li3VCl
1.0
4.684 0.000 0.000
0.000 4.684 0.000
0.000 0.000 4.684
Li V Cl
3 1 1
Direct
0.000 0.000 0.500
0.000 0.500 0.000
0.500 0.000 0.000
0.500 0.500 0.500
0.000 0.000 0.000
```

## Properties
energy relative to the elements, uncorrected: -0.0065 eV per atom
total magnetic moment: 5.0 μB/f.u.
energy above the most stable polymorph in this dataset: 0.000 eV/atom
VASP energy: -16.74 eV per cell


## Be2AsW (PBE-GGA)

Data for crystalline Be2AsW at its relaxed geometry.

Structure (POSCAR):
```
Be2AsW
1.0
1.417 0.818 7.802
-1.417 0.818 7.802
0.000 -1.637 7.802
Be As W
2 1 1
Direct
0.250 0.250 0.250
0.750 0.750 0.750
0.000 0.000 0.000
0.500 0.500 0.500
```

## Properties
total magnetic moment: 0.0 μB/f.u.
energy relative to the elements: 1.7 eV/f.u.
VASP energy: -23.34 eV per cell